! Li2GaFeO4 PBE+U relaxed; values from VASP
&SYSTEM
  ibrav = 0, nat = 8, ntyp = 4
/
ATOMIC_SPECIES
O 16.00 O.upf
Li 6.94 Li.upf
Fe 55.84 Fe.upf
Ga 69.72 Ga.upf
CELL_PARAMETERS angstrom
-3.906 2.757 2.880
-4.747 -0.399 -0.648
-2.114 -1.554 4.029
ATOMIC_POSITIONS crystal
O 0.343 0.086 0.571
O 0.000 0.571 0.086
O 0.657 0.429 0.914
O 0.000 0.914 0.429
Li 0.500 0.250 0.750
Li 0.500 0.750 0.250
Fe 0.000 0.000 0.000
Ga 0.000 0.500 0.500
! DFT total energy ... -5.67 eV/atom
! M_tot ... 4.993 Bohr magnetons per cell